Record 1
HoMn2Si2C | PBE-GGA | relaxed

a = 3.8814 Å, b = 3.8814 Å, c = 5.1837 Å
α = 90.00°, β = 90.00°, γ = 90.00°
Closest atoms and distances in Å follow each position.
Fractional coordinates of all 6 atoms:
Mn  0.5000  0.0000  0.0000  2 C 1.94
Mn  0.0000  0.5000  0.0000  2 C 1.94
Ho  0.0000  0.0000  0.5000  2 C 2.59
Si  0.5000  0.5000  0.2710  1 Si 2.37, 4 Mn 2.40
Si  0.5000  0.5000  0.7290  1 Si 2.37, 4 Mn 2.40
C  0.0000  0.0000  0.0000  4 Mn 1.94

Properties
Size of the total moment (μB per formula unit): 0.4
DFT total energy (eV per atom): -7.66
Space group: P4/mmm
Uncorrected formation energy (eV/atom): -0.49


Record 2
CsTiNi2Pd | PBE-GGA | relaxed

a = 4.4582 Å, b = 6.1178 Å, c = 4.4582 Å
α = 90.00°, β = 90.00°, γ = 90.00°
Closest atoms and distances in Å follow each position.
Fractional coordinates of all 5 atoms:
Ni  0.0000  0.0000  0.5000  2 Ti 2.23
Ni  0.5000  0.0000  0.0000  2 Ti 2.23
Pd  0.5000  0.5000  0.5000  4 Cs 3.15
Cs  0.0000  0.5000  0.0000  2 Ti 3.06, 4 Pd 3.15
Ti  0.0000  0.0000  0.0000  4 Ni 2.23

Properties
Size of the total moment (μB per formula unit): 1.0
DFT total energy (eV per atom): -3.84
Space group: P4/mmm


Record 3
PmPrNd2Er4 | PBE-GGA | relaxed

a = 9.5404 Å, b = 9.5404 Å, c = 11.9227 Å
α = 128.66°, β = 128.66°, γ = 88.02°
Closest atoms and distances in Å follow each position.
Fractional coordinates of all 16 atoms:
Pm  0.5000  0.5000  0.5000  6 Er 3.30-3.43, 2 Pm 3.40
Pm  0.0000  0.0000  0.0000  6 Er 3.30-3.43, 2 Pm 3.40
Er  0.7495  0.7495  0.9989  3 Nd 3.31-3.44, 1 Pr 3.31, 2 Er 3.40, 2 Pm 3.42-3.43
Er  0.7505  0.7505  0.5011  3 Nd 3.31-3.44, 1 Pr 3.31, 2 Er 3.40, 2 Pm 3.42-3.43
Er  0.2495  0.2495  0.4989  3 Nd 3.31-3.44, 1 Pr 3.31, 2 Er 3.40, 2 Pm 3.42-3.43
Er  0.2505  0.2505  0.0011  3 Nd 3.31-3.44, 1 Pr 3.31, 2 Er 3.40, 2 Pm 3.42-3.43
Er  0.7491  0.2506  0.4999  1 Pm 3.30, 3 Nd 3.32-3.43, 2 Er 3.40, 2 Pr 3.43
Er  0.2494  0.7509  0.0001  1 Pm 3.30, 3 Nd 3.32-3.43, 2 Er 3.40, 2 Pr 3.43
Er  0.2509  0.7494  0.5001  1 Pm 3.30, 3 Nd 3.32-3.43, 2 Er 3.40, 2 Pr 3.43
Er  0.7506  0.2491  0.9999  1 Pm 3.30, 3 Nd 3.32-3.43, 2 Er 3.40, 2 Pr 3.43
Nd  0.0000  0.0000  0.5000  6 Er 3.32-3.44, 2 Nd 3.40
Nd  0.5000  0.0000  0.0000  6 Er 3.31-3.43, 2 Pr 3.40
Nd  0.5000  0.5000  0.0000  6 Er 3.32-3.44, 2 Nd 3.40
Nd  0.5000  0.0000  0.5000  6 Er 3.31-3.43, 2 Pr 3.40
Pr  0.0000  0.5000  0.5000  6 Er 3.31-3.43, 2 Nd 3.40
Pr  0.0000  0.5000  0.0000  6 Er 3.31-3.43, 2 Nd 3.40

Properties
Size of the total moment (μB per formula unit): 0.0
DFT total energy (eV per atom): -4.26
Space group: Imma


Record 4
P2Pt3Se | PBE-GGA | relaxed

a = 7.1540 Å, b = 7.1540 Å, c = 4.5054 Å
α = 90.00°, β = 90.00°, γ = 120.00°
Closest atoms and distances in Å follow each position.
Fractional coordinates of all 12 atoms:
P  0.0000  0.0000  0.0000  6 Pt 2.38
P  0.0000  0.5000  0.0000  4 Pt 2.46, 2 Se 2.64
P  0.5000  0.5000  0.0000  4 Pt 2.46, 2 Se 2.64
P  0.5000  0.0000  0.0000  4 Pt 2.46, 2 Se 2.64
Pt  0.1616  0.8384  0.2873  3 P 2.38-2.46, 1 Se 2.64
Pt  0.1616  0.3232  0.2874  3 P 2.38-2.46, 1 Se 2.64
Pt  0.6768  0.8384  0.2873  3 P 2.38-2.46, 1 Se 2.64
Pt  0.8384  0.1616  0.7127  3 P 2.38-2.46, 1 Se 2.64
Pt  0.8384  0.6768  0.7126  3 P 2.38-2.46, 1 Se 2.64
Pt  0.3232  0.1616  0.7127  3 P 2.38-2.46, 1 Se 2.64
Se  0.3333  0.6667  0.6349  3 P 2.64, 3 Pt 2.64
Se  0.6667  0.3333  0.3651  3 P 2.64, 3 Pt 2.64

Properties
Size of the total moment (μB per formula unit): 0.0
DFT total energy (eV per atom): -5.56
Space group: P-3m1
Uncorrected formation energy (eV/atom): -0.16


Record 5
CaY2P | PBE-GGA | relaxed

a = 5.2606 Å, b = 5.2606 Å, c = 5.2606 Å
α = 60.00°, β = 60.00°, γ = 60.00°
Closest atoms and distances in Å follow each position.
Fractional coordinates of all 4 atoms:
P  0.7500  0.7500  0.7500  4 Y 3.22, 4 Ca 3.22
Y  0.0000  0.0000  0.0000  4 P 3.22, 4 Y 3.22
Y  0.2500  0.2500  0.2500  4 Ca 3.22, 4 Y 3.22
Ca  0.5000  0.5000  0.5000  4 Y 3.22, 4 P 3.22

Properties
Size of the total moment (μB per formula unit): 0.0
DFT total energy (eV per atom): -5.00
Space group: F-43m


Record 6
CeHfSc2 | PBE-GGA | relaxed

a = 4.7289 Å, b = 4.5534 Å, c = 4.5534 Å
α = 90.00°, β = 90.00°, γ = 90.00°
Closest atoms and distances in Å follow each position.
Fractional coordinates of all 4 atoms:
Hf  0.5000  0.0000  0.0000  4 Ce 3.22, 8 Sc 3.28
Ce  0.5000  0.5000  0.5000  4 Hf 3.22, 8 Sc 3.28
Sc  0.0000  0.5000  0.0000  4 Sc 3.22, 4 Hf 3.28, 4 Ce 3.28
Sc  0.0000  0.0000  0.5000  4 Sc 3.22, 4 Hf 3.28, 4 Ce 3.28

Properties
Size of the total moment (μB per formula unit): 0.0
DFT total energy (eV per atom): -7.06
Space group: P4/mmm
Relative energy among the computed polymorphs (eV/atom): 0.011


Record 7
Tb7Pm2Tm2 | PBE-GGA | relaxed

a = 8.7360 Å, b = 6.4945 Å, c = 6.4945 Å
α = 93.33°, β = 98.20°, γ = 98.20°
Closest atoms and distances in Å follow each position.
Fractional coordinates of all 11 atoms:
Tb  0.7086  0.5558  0.9176  2 Pm 3.36-3.63, 5 Tb 3.41-3.68, 2 Tm 3.63-3.74
Tb  0.2914  0.0824  0.4442  2 Pm 3.36-3.63, 5 Tb 3.41-3.68, 2 Tm 3.63-3.74
Tb  0.5000  0.0000  0.0000  6 Tb 3.46-3.68, 2 Tm 3.50
Tb  0.2914  0.4442  0.0824  2 Pm 3.36-3.63, 5 Tb 3.41-3.68, 2 Tm 3.63-3.74
Tb  0.3564  0.6081  0.6081  8 Tb 3.41-3.50, 1 Tm 3.46, 2 Pm 3.49
Tb  0.6436  0.3919  0.3919  8 Tb 3.41-3.50, 1 Tm 3.46, 2 Pm 3.49
Tb  0.7086  0.9176  0.5558  2 Pm 3.36-3.63, 5 Tb 3.41-3.68, 2 Tm 3.63-3.74
Pm  0.0000  0.6773  0.3227  1 Pm 3.35, 6 Tb 3.36-3.63, 4 Tm 3.49-3.51
Pm  0.0000  0.3227  0.6773  1 Pm 3.35, 6 Tb 3.36-3.63, 4 Tm 3.49-3.51
Tm  0.0957  0.8526  0.8526  1 Tm 3.40, 6 Tb 3.46-3.74, 4 Pm 3.49-3.51
Tm  0.9043  0.1474  0.1474  1 Tm 3.40, 6 Tb 3.46-3.74, 4 Pm 3.49-3.51

Properties
Size of the total moment (μB per formula unit): 0.0
DFT total energy (eV per atom): -4.51
Space group: C2/m
Relative energy among the computed polymorphs (eV/atom): 0.000


Record 8
CoIrS2 | PBE-GGA | relaxed

a = 7.2766 Å, b = 7.2766 Å, c = 7.2766 Å
α = 24.63°, β = 24.63°, γ = 24.63°
Closest atoms and distances in Å follow each position.
Fractional coordinates of all 4 atoms:
S  0.1062  0.1062  0.1062  3 Co 2.20, 1 Ir 2.25
S  0.8938  0.8938  0.8938  3 Co 2.20, 1 Ir 2.25
Co  0.5000  0.5000  0.5000  6 S 2.20
Ir  0.0000  0.0000  0.0000  2 S 2.25

Properties
Size of the total moment (μB per formula unit): 0.0
DFT total energy (eV per atom): -6.17
Space group: R-3m
Uncorrected formation energy (eV/atom): -0.12
Relative energy among the computed polymorphs (eV/atom): 0.012


Repeat the second record exactly.
CsTiNi2Pd | PBE-GGA | relaxed

a = 4.4582 Å, b = 6.1178 Å, c = 4.4582 Å
α = 90.00°, β = 90.00°, γ = 90.00°
Closest atoms and distances in Å follow each position.
Fractional coordinates of all 5 atoms:
Ni  0.0000  0.0000  0.5000  2 Ti 2.23
Ni  0.5000  0.0000  0.0000  2 Ti 2.23
Pd  0.5000  0.5000  0.5000  4 Cs 3.15
Cs  0.0000  0.5000  0.0000  2 Ti 3.06, 4 Pd 3.15
Ti  0.0000  0.0000  0.0000  4 Ni 2.23

Properties
Size of the total moment (μB per formula unit): 1.0
DFT total energy (eV per atom): -3.84
Space group: P4/mmm